{
  "formula": "Zn3Os",
  "functional": "PBEsol",
  "state": "relaxed",
  "lattice_angstrom": [[3.743, 0.000, 0.000], [0.000, 3.743, 0.000], [-1.871, -1.871, 7.648]],
  "species": ["Os", "Os", "Zn", "Zn", "Zn", "Zn", "Zn", "Zn"],
  "fractional_positions": [[0.382, 0.382, 0.764], [0.618, 0.618, 0.236], [0.500, 0.000, 0.000], [0.000, 0.500, 0.000], [0.250, 0.750, 0.500], [0.129, 0.129, 0.258], [0.750, 0.250, 0.500], [0.871, 0.871, 0.742]],
  "formation_enthalpy_0k_ev_per_atom": 0.062,
  "total_magnetization_mub_per_fu": 0.001
}